# 1
# Y6Sc2Al PBE optimized geometry
data_Y6Sc2Al
_chemical_formula_sum 'Y12 Sc4 Al2'
_space_group_name_H-M_alt 'P 1'
_space_group_IT_number 1
_cell_length_a 5.247
_cell_length_b 9.959
_cell_length_c 9.988
_cell_angle_alpha 90.00
_cell_angle_beta 90.00
_cell_angle_gamma 90.00
loop_
_space_group_symop_operation_xyz
'x,y,z'
loop_
_atom_site_label
_atom_site_fract_x
_atom_site_fract_y
_atom_site_fract_z
Y1 0.000 0.038 0.188
Y2 0.000 0.688 0.541
Y3 0.000 0.622 0.879
Y4 0.500 0.122 0.621
Y5 0.500 0.188 0.959
Y6 0.500 0.538 0.312
Y7 0.000 0.962 0.812
Y8 0.000 0.312 0.459
Y9 0.000 0.378 0.121
Y10 0.500 0.878 0.379
Y11 0.500 0.812 0.041
Y12 0.500 0.462 0.688
Sc1 0.000 0.289 0.786
Sc2 0.500 0.789 0.714
Sc3 0.500 0.211 0.286
Sc4 0.000 0.711 0.214
Al1 0.500 0.500 0.000
Al2 0.000 0.000 0.500
# **Energy of formation from the pure elements**: -0.041 eV per atom
# **Raw total energy**: -111.1 eV for the cell shown
# **Symmetry**: Pnnm

# 2
# YSc2Al2 PBE optimized geometry
data_YSc2Al2
_chemical_formula_sum 'Y2 Sc4 Al4'
_space_group_name_H-M_alt 'P 1'
_space_group_IT_number 1
_cell_length_a 8.433
_cell_length_b 8.433
_cell_length_c 3.115
_cell_angle_alpha 90.00
_cell_angle_beta 90.00
_cell_angle_gamma 90.00
loop_
_space_group_symop_operation_xyz
'x,y,z'
loop_
_atom_site_label
_atom_site_fract_x
_atom_site_fract_y
_atom_site_fract_z
Y1 0.000 0.000 0.000
Y2 0.500 0.500 0.000
Sc1 0.377 0.877 0.000
Sc2 0.877 0.623 0.000
Sc3 0.623 0.123 0.000
Sc4 0.123 0.377 0.000
Al1 0.175 0.675 0.500
Al2 0.675 0.825 0.500
Al3 0.825 0.325 0.500
Al4 0.325 0.175 0.500
# **Energy of formation from the pure elements**: -0.279 eV per atom
# **Raw total energy**: -56.0 eV for the cell shown
# **Symmetry**: P4/mbm

# 3
# YSc2Al PBE optimized geometry
data_YSc2Al
_chemical_formula_sum 'Y1 Sc2 Al1'
_space_group_name_H-M_alt 'P 1'
_space_group_IT_number 1
_cell_length_a 6.137
_cell_length_b 6.137
_cell_length_c 4.944
_cell_angle_alpha 66.25
_cell_angle_beta 66.25
_cell_angle_gamma 34.63
loop_
_space_group_symop_operation_xyz
'x,y,z'
loop_
_atom_site_label
_atom_site_fract_x
_atom_site_fract_y
_atom_site_fract_z
Y1 0.473 0.473 0.527
Sc1 0.032 0.032 0.968
Sc2 0.253 0.253 0.247
Al1 0.741 0.741 0.758
# **Energy of formation from the pure elements**: -0.189 eV per atom
# **Raw total energy**: -23.6 eV for the cell shown
# **Symmetry**: Imm2

# 4
# YSc2Al PBE optimized geometry
data_YSc2Al
_chemical_formula_sum 'Y1 Sc2 Al1'
_space_group_name_H-M_alt 'P 1'
_space_group_IT_number 1
_cell_length_a 5.105
_cell_length_b 5.105
_cell_length_c 5.105
_cell_angle_alpha 60.00
_cell_angle_beta 60.00
_cell_angle_gamma 60.00
loop_
_space_group_symop_operation_xyz
'x,y,z'
loop_
_atom_site_label
_atom_site_fract_x
_atom_site_fract_y
_atom_site_fract_z
Y1 0.750 0.750 0.750
Sc1 0.000 0.000 0.000
Sc2 0.250 0.250 0.250
Al1 0.500 0.500 0.500
# **Energy of formation from the pure elements**: -0.122 eV per atom
# **Raw total energy**: -23.4 eV for the cell shown
# **Symmetry**: F-43m

# 5
# Y4ScAl PBE optimized geometry
data_Y4ScAl
_chemical_formula_sum 'Y4 Sc1 Al1'
_space_group_name_H-M_alt 'P 1'
_space_group_IT_number 1
_cell_length_a 3.483
_cell_length_b 5.649
_cell_length_c 9.713
_cell_angle_alpha 82.18
_cell_angle_beta 79.67
_cell_angle_gamma 72.04
loop_
_space_group_symop_operation_xyz
'x,y,z'
loop_
_atom_site_label
_atom_site_fract_x
_atom_site_fract_y
_atom_site_fract_z
Y1 0.663 0.509 0.164
Y2 0.337 0.491 0.836
Y3 0.139 0.077 0.646
Y4 0.861 0.923 0.354
Sc1 0.000 0.000 0.000
Al1 0.500 0.500 0.500
# **Energy of formation from the pure elements**: 0.093 eV per atom
# **Raw total energy**: -35.4 eV for the cell shown
# **Symmetry**: C2/m

# 6
# YSc2Al PBE optimized geometry
data_YSc2Al
_chemical_formula_sum 'Y1 Sc2 Al1'
_space_group_name_H-M_alt 'P 1'
_space_group_IT_number 1
_cell_length_a 5.644
_cell_length_b 5.644
_cell_length_c 5.644
_cell_angle_alpha 133.17
_cell_angle_beta 133.17
_cell_angle_gamma 68.39
loop_
_space_group_symop_operation_xyz
'x,y,z'
loop_
_atom_site_label
_atom_site_fract_x
_atom_site_fract_y
_atom_site_fract_z
Y1 0.500 0.500 0.000
Sc1 0.000 0.000 0.000
Sc2 0.250 0.750 0.500
Al1 0.750 0.250 0.500
# **Energy of formation from the pure elements**: -0.174 eV per atom
# **Raw total energy**: -23.6 eV for the cell shown
# **Symmetry**: I-4m2

# 7
# YSc2Al PBE optimized geometry
data_YSc2Al
_chemical_formula_sum 'Y1 Sc2 Al1'
_space_group_name_H-M_alt 'P 1'
_space_group_IT_number 1
_cell_length_a 3.371
_cell_length_b 3.371
_cell_length_c 10.244
_cell_angle_alpha 80.53
_cell_angle_beta 80.53
_cell_angle_gamma 60.00
loop_
_space_group_symop_operation_xyz
'x,y,z'
loop_
_atom_site_label
_atom_site_fract_x
_atom_site_fract_y
_atom_site_fract_z
Y1 0.501 0.501 0.498
Sc1 0.073 0.073 0.782
Sc2 0.260 0.260 0.219
Al1 0.666 0.666 0.001
# **Energy of formation from the pure elements**: -0.069 eV per atom
# **Raw total energy**: -23.1 eV for the cell shown
# **Symmetry**: R3m

# 8
# YSc2Al2 PBE optimized geometry
data_YSc2Al2
_chemical_formula_sum 'Y1 Sc2 Al2'
_space_group_name_H-M_alt 'P 1'
_space_group_IT_number 1
_cell_length_a 4.317
_cell_length_b 4.317
_cell_length_c 7.053
_cell_angle_alpha 72.18
_cell_angle_beta 72.18
_cell_angle_gamma 90.00
loop_
_space_group_symop_operation_xyz
'x,y,z'
loop_
_atom_site_label
_atom_site_fract_x
_atom_site_fract_y
_atom_site_fract_z
Y1 0.000 0.000 0.000
Sc1 0.750 0.250 0.500
Sc2 0.250 0.750 0.500
Al1 0.401 0.401 0.198
Al2 0.599 0.599 0.802
# **Energy of formation from the pure elements**: -0.260 eV per atom
# **Raw total energy**: -27.9 eV for the cell shown
# **Symmetry**: I4/mmm

# 9
# YSc2Al2 PBE optimized geometry
data_YSc2Al2
_chemical_formula_sum 'Y2 Sc4 Al4'
_space_group_name_H-M_alt 'P 1'
_space_group_IT_number 1
_cell_length_a 3.473
_cell_length_b 4.980
_cell_length_c 12.859
_cell_angle_alpha 90.00
_cell_angle_beta 97.76
_cell_angle_gamma 90.00
loop_
_space_group_symop_operation_xyz
'x,y,z'
loop_
_atom_site_label
_atom_site_fract_x
_atom_site_fract_y
_atom_site_fract_z
Y1 0.854 0.750 0.707
Y2 0.146 0.250 0.293
Sc1 0.049 0.750 0.097
Sc2 0.951 0.250 0.903
Sc3 0.236 0.750 0.472
Sc4 0.764 0.250 0.528
Al1 0.643 0.750 0.287
Al2 0.357 0.250 0.713
Al3 0.455 0.750 0.910
Al4 0.545 0.250 0.090
# **Energy of formation from the pure elements**: -0.344 eV per atom
# **Raw total energy**: -56.7 eV for the cell shown
# **Symmetry**: P2_1/m

# 10
# YSc2Al6 PBE optimized geometry
data_YSc2Al6
_chemical_formula_sum 'Y1 Sc2 Al6'
_space_group_name_H-M_alt 'P 1'
_space_group_IT_number 1
_cell_length_a 3.301
_cell_length_b 7.796
_cell_length_c 7.796
_cell_angle_alpha 120.00
_cell_angle_beta 90.00
_cell_angle_gamma 90.00
loop_
_space_group_symop_operation_xyz
'x,y,z'
loop_
_atom_site_label
_atom_site_fract_x
_atom_site_fract_y
_atom_site_fract_z
Y1 0.000 0.000 0.000
Sc1 0.000 0.333 0.667
Sc2 0.000 0.667 0.333
Al1 0.500 0.336 0.336
Al2 0.500 0.664 0.664
Al3 0.500 0.000 0.664
Al4 0.500 0.664 0.000
Al5 0.500 0.336 0.000
Al6 0.500 0.000 0.336
# **Energy of formation from the pure elements**: -0.466 eV per atom
# **Raw total energy**: -45.8 eV for the cell shown
# **Symmetry**: P6/mmm

# 11
# YSc2Al2 PBE optimized geometry
data_YSc2Al2
_chemical_formula_sum 'Y1 Sc2 Al2'
_space_group_name_H-M_alt 'P 1'
_space_group_IT_number 1
_cell_length_a 4.886
_cell_length_b 4.886
_cell_length_c 5.901
_cell_angle_alpha 90.00
_cell_angle_beta 90.00
_cell_angle_gamma 120.00
loop_
_space_group_symop_operation_xyz
'x,y,z'
loop_
_atom_site_label
_atom_site_fract_x
_atom_site_fract_y
_atom_site_fract_z
Y1 0.000 0.000 0.000
Sc1 0.333 0.667 0.648
Sc2 0.667 0.333 0.352
Al1 0.333 0.667 0.169
Al2 0.667 0.333 0.831
# **Energy of formation from the pure elements**: -0.144 eV per atom
# **Raw total energy**: -27.3 eV for the cell shown
# **Symmetry**: P-3m1

# 12
# YSc4Al2 PBE optimized geometry
data_YSc4Al2
_chemical_formula_sum 'Y1 Sc4 Al2'
_space_group_name_H-M_alt 'P 1'
_space_group_IT_number 1
_cell_length_a 4.998
_cell_length_b 4.998
_cell_length_c 7.881
_cell_angle_alpha 71.51
_cell_angle_beta 71.51
_cell_angle_gamma 60.00
loop_
_space_group_symop_operation_xyz
'x,y,z'
loop_
_atom_site_label
_atom_site_fract_x
_atom_site_fract_y
_atom_site_fract_z
Y1 0.000 0.000 0.000
Sc1 0.846 0.846 0.463
Sc2 0.154 0.154 0.537
Sc3 0.576 0.576 0.273
Sc4 0.424 0.424 0.727
Al1 0.718 0.718 0.846
Al2 0.282 0.282 0.154
# **Energy of formation from the pure elements**: -0.265 eV per atom
# **Raw total energy**: -41.1 eV for the cell shown
# **Symmetry**: R-3m

# 13
# Y6ScAl2 PBE optimized geometry
data_Y6ScAl2
_chemical_formula_sum 'Y6 Sc1 Al2'
_space_group_name_H-M_alt 'P 1'
_space_group_IT_number 1
_cell_length_a 3.614
_cell_length_b 6.503
_cell_length_c 11.550
_cell_angle_alpha 74.36
_cell_angle_beta 81.00
_cell_angle_gamma 73.87
loop_
_space_group_symop_operation_xyz
'x,y,z'
loop_
_atom_site_label
_atom_site_fract_x
_atom_site_fract_y
_atom_site_fract_z
Y1 0.678 0.524 0.120
Y2 0.322 0.476 0.880
Y3 0.310 0.786 0.595
Y4 0.972 0.725 0.331
Y5 0.028 0.275 0.669
Y6 0.690 0.214 0.405
Sc1 0.000 0.000 0.000
Al1 0.356 0.104 0.185
Al2 0.644 0.896 0.815
# **Energy of formation from the pure elements**: -0.171 eV per atom
# **Raw total energy**: -54.1 eV for the cell shown
# **Symmetry**: C2/m

# 14
# Y3ScAl8 PBE optimized geometry
data_Y3ScAl8
_chemical_formula_sum 'Y3 Sc1 Al8'
_space_group_name_H-M_alt 'P 1'
_space_group_IT_number 1
_cell_length_a 5.506
_cell_length_b 5.506
_cell_length_c 9.062
_cell_angle_alpha 90.00
_cell_angle_beta 90.00
_cell_angle_gamma 120.00
loop_
_space_group_symop_operation_xyz
'x,y,z'
loop_
_atom_site_label
_atom_site_fract_x
_atom_site_fract_y
_atom_site_fract_z
Y1 0.667 0.333 0.435
Y2 0.667 0.333 0.069
Y3 0.000 0.000 0.930
Sc1 0.000 0.000 0.568
Al1 0.333 0.667 0.501
Al2 0.333 0.667 0.998
Al3 0.504 0.009 0.746
Al4 0.504 0.496 0.746
Al5 0.991 0.496 0.746
Al6 0.162 0.324 0.253
Al7 0.162 0.838 0.253
Al8 0.676 0.838 0.253
# **Energy of formation from the pure elements**: -0.506 eV per atom
# **Raw total energy**: -61.7 eV for the cell shown
# **Symmetry**: P3m1

# 15
# YSc2Al PBE optimized geometry
data_YSc2Al
_chemical_formula_sum 'Y1 Sc2 Al1'
_space_group_name_H-M_alt 'P 1'
_space_group_IT_number 1
_cell_length_a 10.422
_cell_length_b 10.422
_cell_length_c 10.422
_cell_angle_alpha 18.37
_cell_angle_beta 18.37
_cell_angle_gamma 18.37
loop_
_space_group_symop_operation_xyz
'x,y,z'
loop_
_atom_site_label
_atom_site_fract_x
_atom_site_fract_y
_atom_site_fract_z
Y1 0.750 0.750 0.750
Sc1 0.990 0.990 0.990
Sc2 0.510 0.510 0.510
Al1 0.250 0.250 0.250
# **Energy of formation from the pure elements**: -0.054 eV per atom
# **Raw total energy**: -23.1 eV for the cell shown
# **Symmetry**: R-3m

# 16
# YSc2Al2Zn2 PBE optimized geometry
data_YSc2Al2Zn2
_chemical_formula_sum 'Y1 Sc2 Al2 Zn2'
_space_group_name_H-M_alt 'P 1'
_space_group_IT_number 1
_cell_length_a 4.427
_cell_length_b 4.427
_cell_length_c 8.925
_cell_angle_alpha 75.64
_cell_angle_beta 75.64
_cell_angle_gamma 60.00
loop_
_space_group_symop_operation_xyz
'x,y,z'
loop_
_atom_site_label
_atom_site_fract_x
_atom_site_fract_y
_atom_site_fract_z
Y1 0.000 0.000 0.000
Sc1 0.131 0.131 0.607
Sc2 0.869 0.869 0.393
Al1 0.743 0.743 0.770
Al2 0.257 0.257 0.230
Zn1 0.593 0.593 0.222
Zn2 0.407 0.407 0.778
# **Energy of formation from the pure elements**: -0.325 eV per atom
# **Raw total energy**: -31.4 eV for the cell shown
# **Symmetry**: R-3m

# 17
# Sc4AlZn2 PBE optimized geometry
data_Sc4AlZn2
_chemical_formula_sum 'Sc4 Al1 Zn2'
_space_group_name_H-M_alt 'P 1'
_space_group_IT_number 1
_cell_length_a 4.694
_cell_length_b 4.694
_cell_length_c 8.012
_cell_angle_alpha 72.97
_cell_angle_beta 72.97
_cell_angle_gamma 60.00
loop_
_space_group_symop_operation_xyz
'x,y,z'
loop_
_atom_site_label
_atom_site_fract_x
_atom_site_fract_y
_atom_site_fract_z
Sc1 0.869 0.869 0.392
Sc2 0.131 0.131 0.608
Sc3 0.615 0.615 0.155
Sc4 0.385 0.385 0.845
Zn1 0.743 0.743 0.770
Zn2 0.257 0.257 0.230
Al1 0.000 0.000 0.000
# **Energy of formation from the pure elements**: -0.228 eV per atom
# **Raw total energy**: -33.2 eV for the cell shown
# **Symmetry**: R-3m

# 18
# Sc3Al2Zn3 PBE optimized geometry
data_Sc3Al2Zn3
_chemical_formula_sum 'Sc6 Al4 Zn6'
_space_group_name_H-M_alt 'P 1'
_space_group_IT_number 1
_cell_length_a 4.196
_cell_length_b 5.614
_cell_length_c 13.670
_cell_angle_alpha 90.00
_cell_angle_beta 90.00
_cell_angle_gamma 111.94
loop_
_space_group_symop_operation_xyz
'x,y,z'
loop_
_atom_site_label
_atom_site_fract_x
_atom_site_fract_y
_atom_site_fract_z
Sc1 0.926 0.852 0.386
Sc2 0.074 0.148 0.886
Sc3 0.926 0.852 0.114
Sc4 0.074 0.148 0.614
Sc5 0.646 0.291 0.250
Sc6 0.354 0.709 0.750
Al1 0.785 0.570 0.904
Al2 0.215 0.430 0.404
Al3 0.785 0.570 0.596
Al4 0.215 0.430 0.096
Zn1 0.605 0.210 0.458
Zn2 0.395 0.790 0.958
Zn3 0.605 0.210 0.042
Zn4 0.395 0.790 0.542
Zn5 0.360 0.720 0.250
Zn6 0.640 0.280 0.750
# **Energy of formation from the pure elements**: -0.368 eV per atom
# **Raw total energy**: -66.5 eV for the cell shown
# **Symmetry**: Cmcm

# 19
# ScAlZn PBE optimized geometry
data_ScAlZn
_chemical_formula_sum 'Sc2 Al2 Zn2'
_space_group_name_H-M_alt 'P 1'
_space_group_IT_number 1
_cell_length_a 5.447
_cell_length_b 4.430
_cell_length_c 5.447
_cell_angle_alpha 113.99
_cell_angle_beta 88.57
_cell_angle_gamma 113.99
loop_
_space_group_symop_operation_xyz
'x,y,z'
loop_
_atom_site_label
_atom_site_fract_x
_atom_site_fract_y
_atom_site_fract_z
Sc1 0.974 0.499 0.324
Sc2 0.470 0.999 0.827
Zn1 0.556 0.753 0.250
Zn2 0.396 0.252 0.408
Al1 0.057 0.246 0.735
Al2 0.882 0.747 0.911
# **Energy of formation from the pure elements**: -0.421 eV per atom
# **Raw total energy**: -25.2 eV for the cell shown
# **Symmetry**: Ima2

# 20
# Sc2AlZn PBE optimized geometry
data_Sc2AlZn
_chemical_formula_sum 'Sc2 Al1 Zn1'
_space_group_name_H-M_alt 'P 1'
_space_group_IT_number 1
_cell_length_a 4.882
_cell_length_b 4.882
_cell_length_c 5.599
_cell_angle_alpha 78.48
_cell_angle_beta 78.48
_cell_angle_gamma 39.12
loop_
_space_group_symop_operation_xyz
'x,y,z'
loop_
_atom_site_label
_atom_site_fract_x
_atom_site_fract_y
_atom_site_fract_z
Sc1 0.002 0.002 0.999
Sc2 0.498 0.498 0.501
Zn1 0.750 0.750 0.750
Al1 0.250 0.250 0.250
# **Energy of formation from the pure elements**: -0.193 eV per atom
# **Raw total energy**: -18.5 eV for the cell shown
# **Symmetry**: C2/m